(1)
The following is a PBE calculation of a geometry-optimized ZrAgCl structure, from Alexandria.

Output
As for the raw formation energy: -0.486 eV per atom. The calculation puts the density of states at the Fermi level at 2.5 states/eV/f.u.

The structure in CIF format:
```
data_ZrAgCl
_chemical_formula_sum 'Zr2 Ag2 Cl2'
_space_group_name_H-M_alt 'I 4 m m'
_space_group_IT_number 107
_space_group_name_Hall 'I 4 -2'
_cell_length_a 3.120
_cell_length_b 3.120
_cell_length_c 14.472
_cell_angle_alpha 90.00
_cell_angle_beta 90.00
_cell_angle_gamma 90.00
loop_
_atom_site_label
_atom_site_fract_x
_atom_site_fract_y
_atom_site_fract_z
Zr1 0.000 0.000 0.000
Ag1 0.000 0.000 0.641
Cl1 0.000 0.000 0.387
```

***

(2)
The following is a PBE calculation of a geometry-optimized LaPm6Y structure, from Alexandria.

Output
As for the formation energy: 0.02 eV/atom. The calculation puts the density of states at the Fermi level at 13.5 states/eV/f.u.

The structure in CIF format:
```
data_LaPm6Y
_chemical_formula_sum 'La1 Pm6 Y1'
_space_group_name_H-M_alt 'P 4/m m m'
_space_group_IT_number 123
_space_group_name_Hall '-P 4 2'
_cell_length_a 5.166
_cell_length_b 5.166
_cell_length_c 10.335
_cell_angle_alpha 90.00
_cell_angle_beta 90.00
_cell_angle_gamma 90.00
loop_
_atom_site_label
_atom_site_fract_x
_atom_site_fract_y
_atom_site_fract_z
La1 0.000 0.000 0.000
Pm1 0.000 0.500 0.253
Pm2 0.500 0.500 0.000
Pm3 0.500 0.500 0.500
Y1 0.000 0.000 0.500
```

***

(3)
The following is a PBE calculation of a geometry-optimized Ce5Gd2O13 structure, from Alexandria.

Output
As for the raw formation energy: -3.430 eV per atom.

The structure in CIF format:
```
data_Ce5Gd2O13
_chemical_formula_sum 'Ce15 Gd6 O39'
_space_group_name_H-M_alt 'R 3 m'
_space_group_IT_number 160
_space_group_name_Hall 'R 3 -2"'
_cell_length_a 3.8443
_cell_length_b 3.8443
_cell_length_c 67.0138
_cell_angle_alpha 90.00
_cell_angle_beta 90.00
_cell_angle_gamma 120.00
loop_
_atom_site_label
_atom_site_fract_x
_atom_site_fract_y
_atom_site_fract_z
Ce1 0.0000 0.0000 0.0000
Ce2 0.0000 0.0000 0.1419
Ce3 0.0000 0.0000 0.2860
Ce4 0.0000 0.0000 0.4281
Ce5 0.0000 0.0000 0.7140
Gd1 0.0000 0.0000 0.5740
Gd2 0.0000 0.0000 0.8563
O1 0.0000 0.0000 0.0364
O2 0.0000 0.0000 0.1076
O3 0.0000 0.0000 0.1833
O4 0.0000 0.0000 0.2511
O5 0.0000 0.0000 0.3223
O6 0.0000 0.0000 0.3935
O7 0.0000 0.0000 0.4643
O8 0.0000 0.0000 0.6084
O9 0.0000 0.0000 0.6794
O10 0.0000 0.0000 0.7505
O11 0.0000 0.0000 0.8209
O12 0.0000 0.0000 0.8884
O13 0.0000 0.0000 0.9654
```